# SiHgSb2

An optimized crystal structure of SiHgSb2 (PBE, the Alexandria database). Values from VASP.

Geometry as Quantum ESPRESSO input:
```
&SYSTEM
  ibrav = 0, nat = 4, ntyp = 3
/
ATOMIC_SPECIES
Si 28.09 Si.upf
Hg 200.59 Hg.upf
Sb 121.76 Sb.upf
ATOMIC_POSITIONS crystal
Si 0.000 0.000 0.000
Hg 0.500 0.500 0.500
Sb 0.270 0.270 0.270
Sb 0.730 0.730 0.730
CELL_PARAMETERS angstrom
1.773 1.024 9.832
-1.773 1.024 9.832
0.000 -2.047 9.832
```



! PBE GdUTc2, optimized geometry; values from VASP
&SYSTEM
  ibrav = 0, nat = 4, ntyp = 3
/
ATOMIC_SPECIES
Gd 157.25 Gd.upf
U 238.03 U.upf
Tc 98.00 Tc.upf
ATOMIC_POSITIONS crystal
Gd 0.000 0.000 0.000
U 0.000 0.000 0.500
Tc 0.500 0.500 0.296
Tc 0.500 0.500 0.704
CELL_PARAMETERS angstrom
3.364 0.000 0.000
0.000 3.364 0.000
0.000 0.000 7.071
! Calculated formation energy ... -0.1206 eV per atom



Calculated total DFT energy (no corrections), -3.2249, -11.6458 eV/atom (same order as the records).
Calculated total magnetization, 0.0, 7.1 Bohr magnetons per cell (same order as the records).